InSb2C: relaxed, GGA-PBE.

a b c (Å): 5.991 6.617 6.672
angles (deg): 104.88 95.02 115.09
Space group P1 (No. 1)
Asymmetric unit:
In 0.000 0.000 0.000 [1 per cell]
In 0.172 0.744 0.431 [1 per cell]
Sb 0.244 0.517 0.025 [1 per cell]
Sb 0.460 0.949 0.874 [1 per cell]
Sb 0.714 0.317 0.418 [1 per cell]
Sb 0.747 0.456 0.873 [1 per cell]
C 0.021 0.988 0.380 [1 per cell]
C 0.922 0.123 0.410 [1 per cell]

Values from the calculation:
**Polymorph energy (0 for the lowest one)**: 33 meV/atom
**DFT total energy**: -4.593 eV/atom
**Formation energy (no corrections)**: 0.459 eV/atom
**Total magnetic moment**: 0.00 μB per atom
**D(E_F)**: 1.2 states/eV/f.u.